1.
{
  "formula": "ScTlSb2",
  "functional": "PBE",
  "state": "optimized geometry",
  "formation_energy_uncorrected_mev_per_atom": -275,
  "spacegroup": "C2/m (12)",
  "cell": [[8.7713, 0.0000, 0.0000], [0.0000, 3.9905, 0.0000], [-1.6590, 0.0000, 7.0820]],
  "species": ["Sc", "Sc", "Tl", "Tl", "Sb", "Sb", "Sb", "Sb"],
  "frac_coords": [[0.0000, 0.0000, 0.0000], [0.5000, 0.5000, 0.0000], [0.0000, 0.5000, 0.5000], [0.5000, 0.0000, 0.5000], [0.2338, 0.5000, 0.1817], [0.2662, 0.0000, 0.8183], [0.7338, 0.0000, 0.1817], [0.7662, 0.5000, 0.8183]]
}

2.
{
  "formula": "PtRh2Au",
  "functional": "PBE",
  "state": "optimized geometry",
  "spacegroup": "Cmmm (65)",
  "e_form_kcal_per_mol_atoms": 4.45,
  "cell": [[2.7724, 0.0000, 0.0000], [0.0000, 4.7701, 0.0000], [0.0000, 0.0000, 9.5166]],
  "species": ["Pt", "Pt", "Rh", "Rh", "Rh", "Rh", "Au", "Au"],
  "frac_coords": [[0.0000, 0.0000, 0.0000], [0.5000, 0.5000, 0.0000], [0.0000, 0.5000, 0.2426], [0.0000, 0.5000, 0.7574], [0.5000, 0.0000, 0.2426], [0.5000, 0.0000, 0.7574], [0.0000, 0.0000, 0.5000], [0.5000, 0.5000, 0.5000]]
}

3.
{
  "formula": "LiHfN3",
  "functional": "PBE",
  "state": "optimized geometry",
  "formation_energy_uncorrected_mev_per_atom": 650,
  "spacegroup": "Pm-3m (221)",
  "cell": [[3.5180, 0.0000, 0.0000], [0.0000, 3.5180, 0.0000], [0.0000, 0.0000, 3.5180]],
  "species": ["Li", "Hf", "N", "N", "N"],
  "frac_coords": [[0.0000, 0.0000, 0.0000], [0.5000, 0.5000, 0.5000], [0.0000, 0.0000, 0.5000], [0.0000, 0.5000, 0.0000], [0.5000, 0.0000, 0.0000]]
}

4.
{
  "formula": "PmPr2Tl2",
  "functional": "PBE",
  "state": "optimized geometry",
  "spacegroup": "Immm (71)",
  "e_form_kcal_per_mol_atoms": -6.86,
  "cell": [[5.0087, 0.0000, 0.0000], [0.0000, 7.2654, 0.0000], [0.0000, 0.0000, 8.8222]],
  "species": ["Pm", "Pm", "Pr", "Pr", "Pr", "Pr", "Tl", "Tl", "Tl", "Tl"],
  "frac_coords": [[0.0000, 0.0000, 0.0000], [0.5000, 0.5000, 0.5000], [0.0000, 0.5000, 0.1922], [0.0000, 0.5000, 0.8078], [0.5000, 0.0000, 0.3078], [0.5000, 0.0000, 0.6922], [0.0000, 0.2158, 0.5000], [0.0000, 0.7842, 0.5000], [0.5000, 0.2842, 0.0000], [0.5000, 0.7158, 0.0000]]
}

5.
{
  "formula": "Nd5TlGe2",
  "functional": "PBE",
  "state": "optimized geometry",
  "spacegroup": "I4mm (107)",
  "e_form_kcal_per_mol_atoms": -8.59,
  "cell": [[6.9690, 0.0000, 0.0000], [0.0000, 6.9690, 0.0000], [0.0000, 0.0000, 9.0906]],
  "species": ["Nd", "Nd", "Nd", "Nd", "Nd", "Nd", "Nd", "Nd", "Nd", "Nd", "Tl", "Tl", "Ge", "Ge", "Ge", "Ge"],
  "frac_coords": [[0.0000, 0.0000, 0.0000], [0.2499, 0.2499, 0.2504], [0.2501, 0.2501, 0.7504], [0.2499, 0.7501, 0.2504], [0.2501, 0.7499, 0.7504], [0.5000, 0.5000, 0.5000], [0.7501, 0.2499, 0.2504], [0.7499, 0.2501, 0.7504], [0.7501, 0.7501, 0.2504], [0.7499, 0.7499, 0.7504], [0.0000, 0.0000, 0.5007], [0.5000, 0.5000, 0.0007], [0.0000, 0.5000, 0.0004], [0.0000, 0.5000, 0.5004], [0.5000, 0.0000, 0.0004], [0.5000, 0.0000, 0.5004]]
}

6.
{
  "formula": "GaP2HCl",
  "functional": "PBE",
  "state": "optimized geometry",
  "spacegroup": "P4/mmm (123)",
  "cell": [[4.7947, 0.0000, 0.0000], [0.0000, 4.7947, 0.0000], [0.0000, 0.0000, 5.1369]],
  "species": ["Ga", "P", "P", "H", "Cl"],
  "frac_coords": [[0.0000, 0.0000, 0.0000], [0.0000, 0.5000, 0.0000], [0.5000, 0.0000, 0.0000], [0.5000, 0.5000, 0.5000], [0.0000, 0.0000, 0.5000]]
}

7.
{
  "formula": "Sc3CrTc",
  "functional": "PBE",
  "state": "optimized geometry",
  "spacegroup": "Pm-3m (221)",
  "e_form_kcal_per_mol_atoms": 19.18,
  "cell": [[4.6840, 0.0000, 0.0000], [0.0000, 4.6840, 0.0000], [0.0000, 0.0000, 4.6840]],
  "species": ["Sc", "Sc", "Sc", "Cr", "Tc"],
  "frac_coords": [[0.0000, 0.0000, 0.5000], [0.0000, 0.5000, 0.0000], [0.5000, 0.0000, 0.0000], [0.0000, 0.0000, 0.0000], [0.5000, 0.5000, 0.5000]]
}

8.
{
  "formula": "ThTl3Ge2Se6",
  "functional": "PBE",
  "state": "optimized geometry",
  "formation_energy_uncorrected_mev_per_atom": -647,
  "spacegroup": "C2/m (12)",
  "cell": [[3.6176, -6.2709, 0.0000], [3.6176, 6.2709, 0.0000], [-2.4068, 0.0000, 7.5475]],
  "species": ["Th", "Tl", "Tl", "Tl", "Ge", "Ge", "Se", "Se", "Se", "Se", "Se", "Se"],
  "frac_coords": [[0.0000, 0.0000, 0.0000], [0.1634, 0.8366, 0.5000], [0.5000, 0.5000, 0.5000], [0.8366, 0.1634, 0.5000], [0.3338, 0.6662, 0.0000], [0.6662, 0.3338, 0.0000], [0.0690, 0.4110, 0.2052], [0.2770, 0.2770, 0.7991], [0.4110, 0.0690, 0.2052], [0.5890, 0.9310, 0.7948], [0.7230, 0.7230, 0.2009], [0.9310, 0.5890, 0.7948]]
}

9.
{
  "formula": "CrSiNi2",
  "functional": "PBE",
  "state": "optimized geometry",
  "formation_energy_uncorrected_mev_per_atom": -241,
  "spacegroup": "I-4m2 (119)",
  "cell": [[3.6683, 0.0000, 0.0000], [0.0000, 3.6683, 0.0000], [0.0000, 0.0000, 6.7812]],
  "species": ["Cr", "Cr", "Si", "Si", "Ni", "Ni", "Ni", "Ni"],
  "frac_coords": [[0.0000, 0.0000, 0.0000], [0.5000, 0.5000, 0.5000], [0.0000, 0.5000, 0.2500], [0.5000, 0.0000, 0.7500], [0.0000, 0.0000, 0.5000], [0.0000, 0.5000, 0.7500], [0.5000, 0.0000, 0.2500], [0.5000, 0.5000, 0.0000]]
}

10.
{
  "formula": "As2RuCl",
  "functional": "PBE",
  "state": "optimized geometry",
  "formation_energy_uncorrected_mev_per_atom": 26,
  "spacegroup": "Imm2 (44)",
  "cell": [[3.0245, 0.0000, 0.0000], [0.0000, 3.7829, 0.0000], [0.0000, 0.0000, 15.3146]],
  "species": ["As", "As", "As", "As", "Ru", "Ru", "Cl", "Cl"],
  "frac_coords": [[0.0000, 0.0000, 0.0000], [0.0000, 0.5000, 0.1852], [0.5000, 0.0000, 0.6852], [0.5000, 0.5000, 0.5000], [0.0000, 0.0000, 0.5589], [0.5000, 0.5000, 0.0589], [0.0000, 0.5000, 0.7794], [0.5000, 0.0000, 0.2794]]
}

11.
{
  "formula": "LiNdInPb",
  "functional": "PBE",
  "state": "optimized geometry",
  "spacegroup": "Pmmm (47)",
  "e_form_kcal_per_mol_atoms": -9.94,
  "cell": [[4.5964, 0.0000, 0.0000], [0.0000, 4.7058, 0.0000], [0.0000, 0.0000, 4.7985]],
  "species": ["Li", "Nd", "In", "Pb"],
  "frac_coords": [[0.0000, 0.0000, 0.0000], [0.0000, 0.5000, 0.5000], [0.5000, 0.5000, 0.0000], [0.5000, 0.0000, 0.5000]]
}

12.
{
  "formula": "NaAgW",
  "functional": "PBE",
  "state": "optimized geometry",
  "spacegroup": "Pnma (62)",
  "e_form_kcal_per_mol_atoms": 23.65,
  "cell": [[11.3741, 0.0000, 0.0000], [0.0000, 5.1014, 0.0000], [0.0000, 0.0000, 4.9995]],
  "species": ["Na", "Na", "Na", "Na", "Ag", "Ag", "Ag", "Ag", "W", "W", "W", "W"],
  "frac_coords": [[0.2431, 0.2500, 0.0047], [0.2569, 0.7500, 0.5047], [0.7431, 0.2500, 0.4953], [0.7569, 0.7500, 0.9953], [0.0000, 0.0000, 0.0000], [0.0000, 0.5000, 0.0000], [0.5000, 0.0000, 0.5000], [0.5000, 0.5000, 0.5000], [0.0126, 0.2500, 0.5002], [0.4874, 0.7500, 0.0002], [0.5126, 0.2500, 0.9998], [0.9874, 0.7500, 0.4998]]
}

Number 1: energy -4.51 eV/atom. Number 2: energy -5.81 eV/atom. Number 3: energy -6.72 eV/atom. Number 4: energy -4.11 eV/atom. Number 5: energy -4.80 eV/atom. Number 6: energy -2.78 eV/atom. Number 7: energy -6.96 eV/atom. Number 8: energy -4.37 eV/atom. Number 9: energy -6.89 eV/atom. Number 10: energy -5.08 eV/atom. Number 11: energy -3.71 eV/atom. Number 12: energy -4.68 eV/atom.